No. 1
NdAl2Cu9, relaxed, DFT GGA-PBE; ΔE to the lowest computed polymorph = 0.54 eV/f.u.; DOS(E_F) = 4.39 states/eV/f.u.; calculated formation energy = -0.152 eV per atom; SG = R-3m (166); calculated density = 7.4 Mg/m³
1.0
4.979 0.000 0.000
2.489 4.312 0.000
2.489 1.437 8.006
Cu Nd Al
9 1 2
Direct
0.500 0.500 0.500
0.919 0.409 0.263
0.666 0.666 0.002
0.081 0.591 0.737
0.591 0.591 0.737
0.409 0.919 0.263
0.409 0.409 0.263
0.591 0.081 0.737
0.334 0.334 0.998
0.000 0.000 0.000
0.145 0.145 0.565
0.855 0.855 0.435

***

No. 2
NdAl2Cu4, relaxed, DFT GGA-PBE; ΔE to the lowest computed polymorph = 0.00 eV/f.u.; DOS(E_F) = 4.11 states/eV/f.u.; calculated formation energy = -0.314 eV per atom; SG = I4/mmm (139); calculated density = 6.9 Mg/m³
1.0
1.213 -3.321 3.829
4.303 -3.020 -0.435
3.103 1.602 3.954
Cu Al Nd
4 2 1
Direct
0.310 0.000 0.380
0.310 0.380 0.000
0.690 0.620 0.000
0.690 0.000 0.620
0.250 0.500 0.500
0.750 0.500 0.500
0.000 0.000 0.000

***

No. 3
Nd3Al9Cu2, relaxed, DFT GGA-PBE; DOS(E_F) = 4.18 states/eV/f.u.; calculated formation energy = -0.423 eV per atom; SG = Immm (71); calculated density = 4.9 Mg/m³
1.0
4.337 0.000 0.000
2.169 8.022 -0.110
2.169 1.711 7.838
Al Cu Nd
9 2 3
Direct
0.875 0.402 0.847
0.661 0.972 0.706
0.339 0.294 0.028
0.339 0.028 0.294
0.000 0.500 0.500
0.661 0.706 0.972
0.125 0.598 0.153
0.875 0.847 0.402
0.125 0.153 0.598
0.500 0.283 0.717
0.500 0.717 0.283
0.315 0.685 0.685
0.685 0.315 0.315
0.000 0.000 0.000

***

No. 4
Nd2AlCu9, relaxed, DFT GGA-PBE; DOS(E_F) = 6.21 states/eV/f.u.; calculated formation energy = -0.038 eV per atom; SG = R-3m (166); calculated density = 7.8 Mg/m³
1.0
-4.811 -1.155 1.218
-3.386 -1.010 -3.671
-0.675 -8.914 -0.460
Cu Nd Al
9 2 1
Direct
0.420 0.420 0.237
0.333 0.333 0.001
0.078 0.580 0.763
0.500 0.500 0.500
0.420 0.922 0.237
0.580 0.580 0.763
0.667 0.667 0.999
0.580 0.078 0.763
0.922 0.420 0.237
0.865 0.865 0.404
0.135 0.135 0.596
0.000 0.000 0.000

***

No. 5
Nd2Al6Cu, relaxed, DFT GGA-PBE; DOS(E_F) = 4.88 states/eV/f.u.; calculated formation energy = -0.393 eV per atom; SG = P-3m1 (164); calculated density = 4.8 Mg/m³
1.0
5.855 -0.027 -0.016
0.027 5.941 0.006
0.027 2.965 5.148
Al Nd Cu
6 2 1
Direct
0.677 0.172 0.657
0.677 0.657 0.172
0.677 0.172 0.172
0.323 0.828 0.343
0.323 0.343 0.828
0.323 0.828 0.828
0.145 0.333 0.333
0.855 0.667 0.667
0.000 0.000 0.000

***

No. 6
NdAlCu5, relaxed, DFT GGA-PBE; DOS(E_F) = 4.22 states/eV/f.u.; calculated formation energy = -0.241 eV per atom; SG = Pnma (62); calculated density = 7.6 Mg/m³
1.0
5.085 0.000 0.000
0.000 8.153 0.000
0.000 0.000 10.342
Cu Nd Al
20 4 4
Direct
0.250 0.093 0.485
0.006 0.566 0.806
0.506 0.434 0.194
0.250 0.180 0.246
0.506 0.934 0.306
0.494 0.566 0.806
0.750 0.820 0.754
0.250 0.593 0.015
0.250 0.434 0.407
0.750 0.907 0.515
0.494 0.066 0.694
0.994 0.934 0.306
0.006 0.066 0.694
0.750 0.566 0.593
0.750 0.066 0.907
0.750 0.320 0.746
0.250 0.934 0.093
0.250 0.680 0.254
0.750 0.407 0.985
0.994 0.434 0.194
0.750 0.759 0.057
0.750 0.259 0.443
0.250 0.741 0.557
0.250 0.241 0.943
0.750 0.648 0.355
0.750 0.148 0.145
0.250 0.352 0.645
0.250 0.852 0.855

***

No. 7
Nd2AlCu3, relaxed, DFT GGA-PBE; ΔE to the lowest computed polymorph = 0.02 eV/f.u.; DOS(E_F) = 5.08 states/eV/f.u.; calculated formation energy = -0.235 eV per atom; SG = Fmmm (69); calculated density = 6.7 Mg/m³
1.0
5.786 -0.252 0.000
-0.476 5.772 0.000
-2.655 -2.760 7.578
Nd Cu Al
4 6 2
Direct
0.762 0.762 0.000
0.750 0.250 0.500
0.238 0.238 0.000
0.250 0.750 0.500
0.832 0.832 0.664
0.170 0.665 0.835
0.665 0.170 0.835
0.335 0.830 0.165
0.830 0.335 0.165
0.168 0.168 0.336
0.665 0.665 0.330
0.335 0.335 0.670

***

No. 8
NdAl2Cu4, relaxed, DFT GGA-PBE; ΔE to the lowest computed polymorph = 3.32 eV/f.u.; DOS(E_F) = 4.36 states/eV/f.u.; calculated formation energy = 0.160 eV per atom; SG = I4/mmm (139); calculated density = 5.3 Mg/m³
1.0
-2.920 4.785 -1.250
0.630 -1.845 5.402
5.364 1.216 -1.650
Nd Cu Al
1 4 2
Direct
0.000 0.000 0.000
0.730 0.500 0.230
0.270 0.500 0.770
0.500 0.270 0.770
0.500 0.730 0.230
0.750 0.250 0.500
0.250 0.750 0.500

***

No. 9
NdAlCu, relaxed, DFT GGA-PBE; DOS(E_F) = 4.72 states/eV/f.u.; calculated formation energy = -0.210 eV per atom; SG = F-43m (216); calculated density = 5.7 Mg/m³
1.0
-0.426 1.843 -4.197
1.146 -2.457 -3.720
-3.276 -1.514 -2.857
Cu Nd Al
1 1 1
Direct
0.250 0.250 0.250
0.500 0.500 0.500
0.000 0.000 0.000

***

No. 10
Nd4AlCu2, relaxed, DFT GGA-PBE; DOS(E_F) = 7.91 states/eV/f.u.; calculated formation energy = -0.074 eV per atom; SG = R-3m (166); calculated density = 6.3 Mg/m³
1.0
-5.023 0.836 0.151
-2.969 -1.632 -3.805
-3.777 -7.679 2.829
Nd Cu Al
4 2 1
Direct
0.710 0.710 0.871
0.878 0.878 0.365
0.122 0.122 0.635
0.290 0.290 0.129
0.405 0.405 0.786
0.595 0.595 0.214
0.500 0.500 0.500

***

No. 11
NdAl2Cu9, relaxed, DFT GGA-PBE; ΔE to the lowest computed polymorph = 0.00 eV/f.u.; DOS(E_F) = 5.65 states/eV/f.u.; calculated formation energy = -0.197 eV per atom; SG = I4_1/amd (141); calculated density = 7.4 Mg/m³
1.0
-2.981 -7.339 0.183
6.214 2.928 -3.948
2.666 0.604 7.436
Cu Nd Al
18 2 4
Direct
0.484 0.570 0.669
0.430 0.516 0.331
0.185 0.516 0.085
0.430 0.100 0.915
0.350 0.180 0.415
0.900 0.815 0.331
0.750 0.250 0.500
0.500 0.500 0.000
0.065 0.234 0.415
0.484 0.815 0.915
0.820 0.234 0.169
0.350 0.935 0.169
0.820 0.650 0.585
0.766 0.180 0.831
0.185 0.100 0.669
0.766 0.935 0.585
0.065 0.650 0.831
0.900 0.570 0.085
0.000 0.000 0.000
0.250 0.750 0.500
0.625 0.375 0.750
0.625 0.375 0.250
0.125 0.375 0.750
0.625 0.875 0.250

***

No. 12
Nd3Al2Cu6, relaxed, DFT GGA-PBE; DOS(E_F) = 7.29 states/eV/f.u.; calculated formation energy = -0.270 eV per atom; SG = Im-3m (229); calculated density = 7.0 Mg/m³
1.0
-4.336 -4.341 -5.302
7.014 2.214 -3.414
1.498 -4.489 6.584
Nd Al Cu
6 4 12
Direct
0.000 0.717 0.717
0.283 0.283 0.000
0.000 0.283 0.283
0.717 0.000 0.717
0.283 0.000 0.283
0.717 0.717 0.000
0.500 0.000 0.000
0.000 0.000 0.500
0.000 0.500 0.000
0.500 0.500 0.500
0.670 0.000 0.330
0.000 0.670 0.330
0.670 0.670 0.340
0.000 0.330 0.670
0.670 0.340 0.670
0.670 0.330 0.000
0.660 0.330 0.330
0.330 0.660 0.330
0.330 0.000 0.670
0.330 0.670 0.000
0.340 0.670 0.670
0.330 0.330 0.660

***

No. 13
Nd3Al4Cu, relaxed, DFT GGA-PBE; DOS(E_F) = 5.70 states/eV/f.u.; calculated formation energy = -0.352 eV per atom; SG = Pmmn (59); calculated density = 5.3 Mg/m³
1.0
5.988 0.000 0.000
0.000 5.691 0.000
0.000 0.000 11.170
Al Nd Cu
8 6 2
Direct
0.035 0.757 0.000
0.965 0.743 0.500
0.335 0.500 0.866
0.035 0.243 0.000
0.665 0.000 0.634
0.665 0.000 0.366
0.965 0.257 0.500
0.335 0.500 0.134
0.179 0.000 0.254
0.821 0.500 0.246
0.179 0.000 0.746
0.821 0.500 0.754
0.554 0.000 0.000
0.446 0.500 0.500
0.321 0.000 0.500
0.679 0.500 0.000

***

No. 14
NdAl8Cu2, relaxed, DFT GGA-PBE; DOS(E_F) = 7.38 states/eV/f.u.; calculated formation energy = 0.170 eV per atom; SG = P4/mmm (123); calculated density = 3.2 Mg/m³
1.0
-4.229 -2.734 -2.568
3.745 -2.860 -3.122
0.299 -5.715 5.593
Nd Cu Al
1 2 8
Direct
0.500 0.500 0.500
0.500 0.000 0.000
0.000 0.500 0.000
0.251 0.749 0.184
0.749 0.749 0.184
0.749 0.251 0.816
0.251 0.251 0.184
0.749 0.749 0.816
0.251 0.749 0.816
0.749 0.251 0.184
0.251 0.251 0.816

***

No. 15
NdAlCu, relaxed, DFT GGA-PBE; DOS(E_F) = 2.66 states/eV/f.u.; calculated formation energy = -0.183 eV per atom; SG = I4mm (107); calculated density = 6.5 Mg/m³
1.0
-2.294 1.385 1.846
1.030 -1.715 2.566
4.254 4.362 -0.855
Nd Al Cu
1 1 1
Direct
0.946 0.946 0.891
0.649 0.649 0.299
0.255 0.255 0.510

***

No. 16
Nd2AlCu2Ni5, relaxed, DFT GGA-PBE; DOS(E_F) = 5.48 states/eV/f.u.; calculated formation energy = -0.223 eV per atom; SG = P4/mbm (127); calculated density = 7.9 Mg/m³
1.0
3.636 0.000 0.000
0.000 9.205 0.000
0.000 0.000 9.205
Ni Cu Nd Al
10 4 4 2
Direct
0.500 0.298 0.556
0.500 0.056 0.798
0.500 0.000 0.500
0.500 0.702 0.444
0.500 0.500 0.000
0.500 0.798 0.944
0.500 0.202 0.056
0.500 0.556 0.702
0.500 0.444 0.298
0.500 0.944 0.202
0.000 0.618 0.882
0.000 0.382 0.118
0.000 0.882 0.382
0.000 0.118 0.618
0.000 0.180 0.320
0.000 0.820 0.680
0.000 0.680 0.180
0.000 0.320 0.820
0.000 0.000 0.000
0.000 0.500 0.500

***

No. 17
NdAlCuNi, relaxed, DFT GGA-PBE; ΔE to the lowest computed polymorph = 0.63 eV/f.u.; DOS(E_F) = 3.77 states/eV/f.u.; calculated formation energy = -0.262 eV per atom; SG = F-43m (216); calculated density = 7.0 Mg/m³
1.0
-4.565 -0.119 -0.743
-2.619 -3.123 2.189
-2.921 1.352 3.324
Cu Al Ni Nd
1 1 1 1
Direct
0.250 0.250 0.250
0.500 0.500 0.500
0.750 0.750 0.750
0.000 0.000 0.000

***

No. 18
Nd2AlCu3Ni12, relaxed, DFT GGA-PBE; DOS(E_F) = 20.27 states/eV/f.u.; calculated formation energy = 0.172 eV per atom; SG = R-3m (166); calculated density = 7.6 Mg/m³
1.0
8.885 1.691 1.199
5.858 6.891 1.199
5.858 3.410 6.107
Al Nd Ni Cu
1 2 12 3
Direct
0.000 0.000 0.000
0.346 0.346 0.346
0.654 0.654 0.654
0.067 0.067 0.651
0.579 0.579 0.191
0.191 0.579 0.579
0.349 0.933 0.933
0.421 0.421 0.809
0.579 0.191 0.579
0.421 0.809 0.421
0.067 0.651 0.067
0.933 0.349 0.933
0.651 0.067 0.067
0.809 0.421 0.421
0.933 0.933 0.349
0.000 0.500 0.000
0.000 0.000 0.500
0.500 0.000 0.000

***

No. 19
NdAlCuNi, relaxed, DFT GGA-PBE; ΔE to the lowest computed polymorph = 0.00 eV/f.u.; DOS(E_F) = 2.86 states/eV/f.u.; calculated formation energy = -0.420 eV per atom; SG = Cm (8); calculated density = 6.5 Mg/m³
1.0
-1.792 0.939 -3.726
3.894 -1.690 0.113
-3.888 -3.565 0.971
Al Cu Nd Ni
1 1 1 1
Direct
0.124 0.247 0.013
0.415 0.830 0.887
0.615 0.231 0.489
0.812 0.625 0.079

***

No. 20
NdAl4Cu2Ni, relaxed, DFT GGA-PBE; DOS(E_F) = 3.39 states/eV/f.u.; calculated formation energy = -0.406 eV per atom; SG = R-3m (166); calculated density = 5.5 Mg/m³
1.0
-3.972 1.123 0.538
-3.047 -2.216 -1.770
-2.809 -5.470 6.789
Cu Nd Al Ni
2 1 4 1
Direct
0.765 0.765 0.704
0.235 0.235 0.296
0.000 0.000 0.000
0.134 0.134 0.597
0.592 0.592 0.225
0.408 0.408 0.775
0.866 0.866 0.403
0.500 0.500 0.500

***

no.,total magnetic moment (μB/atom)
1,0.000
2,0.000
3,0.000
4,0.000
5,0.000
6,0.000
7,0.000
8,0.000
9,0.000
10,0.000
11,0.000
12,0.000
13,0.000
14,0.000
15,0.000
16,0.000
17,0.000
18,0.000
19,0.000
20,0.000